A relaxed structure of Sr2FePb, computed with PBE.

## Properties
The crystal system is cubic.

Unit cell a=7.6563 b=7.6563 c=7.6563 alpha=90.00 beta=90.00 gamma=90.00
Space group F-43m (No. 216)
One atom of each set of equivalent atoms:
Sr 0.0000 0.0000 0.0000 (multiplicity 4)
Sr 0.2500 0.2500 0.2500 (multiplicity 4)
Fe 0.0000 0.0000 0.5000 (multiplicity 4)
Pb 0.2500 0.2500 0.7500 (multiplicity 4)


A relaxed structure of CaAcRhBr, computed with PBE.

## Properties
The crystal system is trigonal. For the raw formation energy, the calculation gives -1.01 eV/atom.

Unit cell a=4.2035 b=4.2035 c=24.1247 alpha=90.00 beta=90.00 gamma=120.00
Space group R3m (No. 160, hexagonal axes)
One atom of each set of equivalent atoms:
Ca 0.0000 0.0000 0.0000 (multiplicity 3)
Ac 0.0000 0.0000 0.2003 (multiplicity 3)
Rh 0.0000 0.0000 0.5974 (multiplicity 3)
Br 0.0000 0.0000 0.7602 (multiplicity 3)


A relaxed structure of ZnFeBr4, computed with PBE.

## Properties
The crystal system is tetragonal. The energy above the most stable polymorph in this dataset comes out at 0.0 meV/atom. For the raw formation energy, the calculation gives -0.46 eV/atom.

Unit cell a=7.2692 b=7.2692 c=8.5022 alpha=90.00 beta=90.00 gamma=90.00
Space group P4_2/mmc (No. 131)
One atom of each set of equivalent atoms:
Zn 0.0000 0.5000 0.0000 (multiplicity 2)
Fe 0.0000 0.0000 0.0000 (multiplicity 2)
Br 0.2370 0.2478 0.0000 (multiplicity 8)


A relaxed structure of Sb2Cl3F5, computed with PBE.

## Properties
The crystal system is orthorhombic. For the raw formation energy, the calculation gives -1.29 eV/atom.

Unit cell a=7.9213 b=11.9595 c=8.4553 alpha=90.00 beta=90.00 gamma=90.00
Space group Ibam (No. 72)
One atom of each set of equivalent atoms:
Sb 0.0016 0.2223 0.0000 (multiplicity 8)
Cl 0.0000 0.0000 0.2500 (multiplicity 4)
Cl 0.1633 0.4039 0.0000 (multiplicity 8)
F 0.0000 0.2561 0.2500 (multiplicity 8)
F 0.0000 0.5000 0.2500 (multiplicity 4)
F 0.2028 0.3256 0.5000 (multiplicity 8)


A relaxed structure of Pu3AgRu, computed with PBE.

## Properties
The crystal system is cubic.

Unit cell a=6.9994 b=6.9994 c=6.9994 alpha=90.00 beta=90.00 gamma=90.00
Space group Pm-3m (No. 221)
One atom of each set of equivalent atoms:
Pu 0.0000 0.0000 0.0000 (multiplicity 1)
Pu 0.2710 0.2710 0.2710 (multiplicity 8)
Ag 0.0000 0.0000 0.5000 (multiplicity 3)
Ru 0.0000 0.5000 0.5000 (multiplicity 3)


A relaxed structure of SrGaB2, computed with PBE.

## Properties
The crystal system is tetragonal.

Unit cell a=4.3913 b=4.3913 c=14.2338 alpha=90.00 beta=90.00 gamma=90.00
Space group I4_1/amd (No. 141, origin choice 2)
One atom of each set of equivalent atoms:
Sr 0.0000 0.2500 0.3750 (multiplicity 4)
Ga 0.0000 0.2500 0.8750 (multiplicity 4)
B 0.0000 0.0000 0.0000 (multiplicity 8)


A relaxed structure of CaNd3Pd, computed with PBE.

## Properties
The crystal system is cubic. The energy above the most stable polymorph in this dataset comes out at 61.5 meV/atom.

Unit cell a=5.7100 b=5.7100 c=5.7100 alpha=90.00 beta=90.00 gamma=90.00
Space group Pm-3m (No. 221)
One atom of each set of equivalent atoms:
Ca 0.0000 0.0000 0.0000 (multiplicity 1)
Nd 0.0000 0.5000 0.5000 (multiplicity 3)
Pd 0.5000 0.5000 0.5000 (multiplicity 1)


A relaxed structure of Na2LiCu2F6, computed with PBE.

## Properties
The crystal system is monoclinic. For the raw formation energy, the calculation gives -2.07 eV/atom.

Unit cell a=9.6955 b=5.7724 c=5.6850 alpha=90.00 beta=115.83 gamma=90.00
Space group C2/m (No. 12)
One atom of each set of equivalent atoms:
Na 0.2101 0.0000 0.1108 (multiplicity 4)
Li 0.0000 0.0000 0.5000 (multiplicity 2)
Cu 0.0765 0.5000 0.3039 (multiplicity 4)
F 0.0773 0.2585 0.7993 (multiplicity 8)
F 0.2102 0.0000 0.5089 (multiplicity 4)


Values of spin magnetization, in order: 8.5, 0.0, 8.0, 7.7, 49.7, 0.0, 1.1, 2.0, all in μB per cell.
Values of raw total energy, in order: -3.577, -4.798, -3.199, -3.602, -10.931, -4.082, -4.414, -4.251, all in eV/atom.